[1]
MnCrSnN2: relaxed, GGA-PBE.

a = 4.1587 Å, b = 5.4717 Å, c = 4.1587 Å
α = 90.00°, β = 90.00°, γ = 90.00°
With the nearest neighbours (Å) after each atom.
Fractional coordinates of all 5 atoms:
Sn 0.0000 0.0000 0.0000  4 N 2.08
N 0.5000 0.0000 0.0000  2 Sn 2.08
Cr 0.0000 0.5000 0.0000  2 Sn 2.74, 4 Mn 2.94
Mn 0.5000 0.5000 0.5000  4 Cr 2.94
N 0.0000 0.0000 0.5000  2 Sn 2.08

Values from the calculation:
raw formation energy	942	kJ/mol of formula units



[2]
Ca5CePt6: relaxed, GGA-PBE.

a = 4.9627 Å, b = 7.0666 Å, c = 7.8470 Å
α = 90.00°, β = 71.33°, γ = 90.00°
With the nearest neighbours (Å) after each atom.
Fractional coordinates of all 12 atoms:
Ca 0.0000 0.5000 0.0000  8 Pt 2.96-3.12
Ca 0.6668 0.5000 0.6662  8 Pt 3.07-3.16
Pt 0.1580 0.2452 0.6836  1 Ce 2.92, 7 Ca 2.96-3.16
Pt 0.1580 0.7548 0.6836  1 Ce 2.92, 7 Ca 2.96-3.16
Ca 0.6727 0.0000 0.6546  8 Pt 3.03-3.05, 2 Ca 3.38-3.39
Ca 0.3332 0.5000 0.3338  8 Pt 3.07-3.16
Pt 0.5000 0.7684 0.0000  2 Ce 2.97, 6 Ca 3.04-3.12, 1 Pt 3.27
Ca 0.3273 0.0000 0.3454  8 Pt 3.03-3.05, 2 Ca 3.38-3.39
Pt 0.8420 0.7548 0.3164  1 Ce 2.92, 7 Ca 2.96-3.16
Pt 0.8420 0.2452 0.3164  1 Ce 2.92, 7 Ca 2.96-3.16
Ce 0.0000 0.0000 0.0000  8 Pt 2.92-2.97
Pt 0.5000 0.2316 0.0000  2 Ce 2.97, 6 Ca 3.04-3.12, 1 Pt 3.27

Values from the calculation:
calculated formation energy	-0.938	eV/atom



[3]
MgCd2Ag2: relaxed, GGA-PBE.

a = 4.3520 Å, b = 5.3029 Å, c = 10.4520 Å
α = 62.23°, β = 77.98°, γ = 65.77°
With the nearest neighbours (Å) after each atom.
Fractional coordinates of all 10 atoms:
Cd 0.9446 0.2579 0.8528  7 Ag 2.95-3.10, 2 Cd 2.98-3.00, 3 Mg 2.99-3.06
Cd 0.1502 0.2490 0.4505  4 Cd 3.00-3.08, 5 Ag 3.01-3.09, 3 Mg 3.06
Ag 0.3511 0.2459 0.0519  3 Mg 2.90-2.93, 4 Ag 2.94-3.11, 5 Cd 2.95-3.10
Ag 0.4507 0.7519 0.3466  2 Ag 2.94-3.04, 7 Cd 3.00-3.09, 3 Mg 3.06-3.08
Ag 0.5493 0.2481 0.6534  2 Ag 2.94-3.04, 7 Cd 3.00-3.09, 3 Mg 3.06-3.08
Mg 0.7549 0.2513 0.2389  6 Ag 2.90-3.08, 6 Cd 2.99-3.06
Ag 0.6489 0.7541 0.9481  3 Mg 2.90-2.93, 4 Ag 2.94-3.11, 5 Cd 2.95-3.10
Mg 0.2451 0.7487 0.7611  6 Ag 2.90-3.08, 6 Cd 2.99-3.06
Cd 0.0554 0.7421 0.1472  7 Ag 2.95-3.10, 2 Cd 2.98-3.00, 3 Mg 2.99-3.06
Cd 0.8498 0.7510 0.5495  4 Cd 3.00-3.08, 5 Ag 3.01-3.09, 3 Mg 3.06

Values from the calculation:
calculated formation energy	-0.113	eV/atom



[4]
Ac2TeH2I: relaxed, GGA-PBE.

a = 4.3393 Å, b = 4.3393 Å, c = 9.7073 Å
α = 90.00°, β = 90.00°, γ = 120.00°
With the nearest neighbours (Å) after each atom.
Fractional coordinates of all 6 atoms:
Ac 0.3333 0.6667 0.7254  3 H 2.52
H 0.3333 0.6667 0.2454  3 Ac 2.52
I 0.0000 0.0000 0.0000  6 H 3.46, 6 Ac 3.66
Te 0.0000 0.0000 0.5000  6 Ac 3.33, 6 H 3.52
Ac 0.6667 0.3333 0.2746  3 H 2.52
H 0.6667 0.3333 0.7546  3 Ac 2.52



[5]
Na2GeIO6: relaxed, GGA-PBE.

a = 5.0172 Å, b = 5.2459 Å, c = 5.2459 Å
α = 90.00°, β = 90.00°, γ = 90.00°
With the nearest neighbours (Å) after each atom.
Fractional coordinates of all 10 atoms:
Na 0.0346 0.5000 0.0000  8 O 2.53-2.82
O 0.2394 0.5000 0.5000  1 I 1.83
Na 0.0346 0.0000 0.5000  8 O 2.53-2.82
O 0.2113 0.0000 0.0000  1 Ge 1.71
O 0.6928 0.7567 0.2433  1 Ge 1.94, 1 I 1.96
O 0.6928 0.2433 0.7567  1 Ge 1.94, 1 I 1.96
I 0.6034 0.5000 0.5000  5 O 1.83-1.96
Ge 0.5521 0.0000 0.0000  1 O 1.71
O 0.6928 0.2433 0.2433  1 Ge 1.94, 1 I 1.96
O 0.6928 0.7567 0.7567  1 Ge 1.94, 1 I 1.96

Values from the calculation:
raw formation energy	-987	kJ/mol of formula units



[6]
RbTl2CuI4: relaxed, GGA-PBE.

a = 4.7179 Å, b = 8.5294 Å, c = 17.6294 Å
α = 90.00°, β = 90.00°, γ = 106.06°
With the nearest neighbours (Å) after each atom.
Fractional coordinates of all 16 atoms:
I 0.2791 0.5583 0.3680  1 Cu 2.64
Tl 0.3610 0.7220 0.9475  6 I 3.41-3.58
I 0.0000 0.0000 0.0000  4 Tl 3.41
Rb 0.9050 0.8101 0.2500  6 I 3.76-3.88
I 0.2791 0.5583 0.1320  1 Cu 2.64
Rb 0.0950 0.1899 0.7500  6 I 3.76-3.88
I 0.4070 0.8140 0.7500  2 Cu 2.75
I 0.7209 0.4417 0.6320  1 Cu 2.64
Cu 0.1797 0.3593 0.2500  4 I 2.64-2.75
I 0.0000 0.0000 0.5000  4 Tl 3.41
Cu 0.8203 0.6407 0.7500  4 I 2.64-2.75
I 0.7209 0.4417 0.8680  1 Cu 2.64
Tl 0.6390 0.2780 0.4475  6 I 3.41-3.58
Tl 0.6390 0.2780 0.0525  6 I 3.41-3.58
Tl 0.3610 0.7220 0.5525  6 I 3.41-3.58
I 0.5930 0.1860 0.2500  2 Cu 2.75

Values from the calculation:
raw formation energy	-552	kJ/mol of formula units



[7]
TiBeAl2Cr: relaxed, GGA-PBE.

a = 4.6428 Å, b = 4.2267 Å, c = 4.6428 Å
α = 90.00°, β = 90.00°, γ = 90.00°
With the nearest neighbours (Å) after each atom.
Fractional coordinates of all 5 atoms:
Ti 0.0000 0.5000 0.0000  2 Cr 2.11
Cr 0.0000 0.0000 0.0000  2 Ti 2.11, 4 Al 2.32
Al 0.0000 0.0000 0.5000  2 Cr 2.32
Al 0.5000 0.0000 0.0000  2 Cr 2.32
Be 0.5000 0.5000 0.5000  8 Al 3.14, 4 Ti 3.28

Values from the calculation:
calculated formation energy	0.760	eV/atom



[8]
SrLi2MgHg: relaxed, GGA-PBE.

a = 4.3246 Å, b = 4.7872 Å, c = 7.2063 Å
α = 109.40°, β = 107.46°, γ = 90.00°
With the nearest neighbours (Å) after each atom.
Fractional coordinates of all 5 atoms:
Hg 0.8372 0.8372 0.6744  3 Li 2.73-2.94, 2 Mg 2.90
Li 0.7042 0.2042 0.4085  2 Hg 2.94, 2 Li 2.94, 4 Mg 3.23
Li 0.0492 0.0492 0.0984  1 Hg 2.73, 2 Li 2.94, 2 Mg 2.99
Mg 0.1877 0.6877 0.3754  2 Hg 2.90, 6 Li 2.99-3.23
Sr 0.4339 0.4339 0.8677  4 Hg 3.46, 6 Li 3.55-3.67

Values from the calculation:
calculated formation energy	-0.202	eV/atom



[9]
Ce3Th: relaxed, GGA-PBE.

a = 4.8094 Å, b = 4.8094 Å, c = 4.8094 Å
α = 90.00°, β = 90.00°, γ = 90.00°
With the nearest neighbours (Å) after each atom.
Fractional coordinates of all 4 atoms:
Ce 0.0000 0.5000 0.5000  8 Ce 3.40, 4 Th 3.40
Th 0.0000 0.0000 0.0000  12 Ce 3.40
Ce 0.5000 0.0000 0.5000  4 Th 3.40, 8 Ce 3.40
Ce 0.5000 0.5000 0.0000  8 Ce 3.40, 4 Th 3.40

Values from the calculation:
calculated formation energy	0.006	eV/atom



[10]
YHf3Cd: relaxed, GGA-PBE.

a = 5.2003 Å, b = 5.2003 Å, c = 5.2003 Å
α = 90.00°, β = 90.00°, γ = 90.00°
With the nearest neighbours (Å) after each atom.
Fractional coordinates of all 5 atoms:
Hf 0.0000 0.5000 0.0000  2 Y 2.60
Cd 0.5000 0.5000 0.5000  12 Hf 3.68
Y 0.0000 0.0000 0.0000  6 Hf 2.60
Hf 0.0000 0.0000 0.5000  2 Y 2.60
Hf 0.5000 0.0000 0.0000  2 Y 2.60

Values from the calculation:
calculated formation energy	1.550	eV/atom



[11]
LiTe2Cl: relaxed, GGA-PBE.

a = 8.0788 Å, b = 8.0788 Å, c = 8.0788 Å
α = 31.50°, β = 31.50°, γ = 31.50°
With the nearest neighbours (Å) after each atom.
Fractional coordinates of all 4 atoms:
Li 0.5000 0.5000 0.5000  6 Te 2.80
Te 0.1152 0.1152 0.1152  1 Cl 2.65, 3 Li 2.80
Te 0.8848 0.8848 0.8848  1 Cl 2.65, 3 Li 2.80
Cl 0.0000 0.0000 0.0000  2 Te 2.65

Values from the calculation:
raw formation energy	-93	kJ/mol of formula units



[12]
La2TbSb: relaxed, GGA-PBE.

a = 4.1741 Å, b = 4.1741 Å, c = 10.1069 Å
α = 78.08°, β = 78.08°, γ = 60.00°
With the nearest neighbours (Å) after each atom.
Fractional coordinates of all 4 atoms:
La 0.2640 0.2640 0.2079  3 Sb 3.16
Sb 0.6667 0.6667 0.9999  6 La 3.16
Tb 0.4998 0.4998 0.5007  6 La 3.74-3.75, 6 Tb 4.17
La 0.0695 0.0695 0.7915  3 Sb 3.16

Values from the calculation:
raw formation energy	-143	kJ/mol of formula units



[13]
Pm5Nd2Th3: relaxed, GGA-PBE.

a = 5.1127 Å, b = 6.3068 Å, c = 13.1019 Å
α = 61.38°, β = 78.75°, γ = 66.09°
With the nearest neighbours (Å) after each atom.
Fractional coordinates of all 10 atoms:
Th 0.0978 0.5007 0.3036  7 Pm 3.57-3.67, 2 Th 3.59, 3 Nd 3.60-3.68
Th 0.9022 0.4993 0.6964  7 Pm 3.57-3.67, 2 Th 3.59, 3 Nd 3.60-3.68
Pm 0.1997 0.0038 0.5968  7 Th 3.57-3.65, 3 Pm 3.58-3.64, 2 Nd 3.61
Pm 0.8003 0.9962 0.4032  7 Th 3.57-3.65, 3 Pm 3.58-3.64, 2 Nd 3.61
Nd 0.5981 0.0093 0.7945  4 Th 3.57-3.68, 8 Pm 3.61-3.75
Th 0.5000 0.5000 0.5000  2 Nd 3.57, 4 Th 3.59, 6 Pm 3.62-3.63
Pm 0.0000 0.0000 0.0000  6 Pm 3.64-3.68, 4 Nd 3.66, 2 Th 3.67
Nd 0.4019 0.9907 0.2055  4 Th 3.57-3.68, 8 Pm 3.61-3.75
Pm 0.6983 0.4991 0.1042  4 Nd 3.61-3.75, 2 Th 3.62, 6 Pm 3.64-3.70
Pm 0.3017 0.5009 0.8958  4 Nd 3.61-3.75, 2 Th 3.62, 6 Pm 3.64-3.70

Values from the calculation:
calculated formation energy	0.056	eV/atom



[14]
Pr2SmO: relaxed, GGA-PBE.

a = 3.2822 Å, b = 3.2822 Å, c = 9.3108 Å
α = 90.00°, β = 90.00°, γ = 90.00°
With the nearest neighbours (Å) after each atom.
Fractional coordinates of all 4 atoms:
Pr 0.0000 0.0000 0.8303  4 O 2.81
O 0.5000 0.5000 0.0000  8 Pr 2.81
Pr 0.0000 0.0000 0.1697  4 O 2.81
Sm 0.5000 0.5000 0.5000  4 Sm 3.28

Values from the calculation:
raw formation energy	-306	kJ/mol of formula units



[15]
PrDyZnRu: relaxed, GGA-PBE.

a = 4.0537 Å, b = 4.3167 Å, c = 5.7446 Å
α = 90.00°, β = 110.66°, γ = 90.00°
With the nearest neighbours (Å) after each atom.
Fractional coordinates of all 4 atoms:
Dy 0.1361 0.0000 0.2722  3 Zn 2.97-3.20, 4 Ru 3.03
Pr 0.8533 0.5000 0.7066  3 Ru 2.98-3.14, 4 Zn 3.09
Zn 0.4341 0.0000 0.8683  2 Ru 2.65
Ru 0.5765 0.5000 0.1530  2 Zn 2.65

Values from the calculation:
calculated formation energy	-0.262	eV/atom



[16]
LiNdScGa: relaxed, GGA-PBE.

a = 5.0377 Å, b = 5.0377 Å, c = 5.0377 Å
α = 60.00°, β = 60.00°, γ = 60.00°
With the nearest neighbours (Å) after each atom.
Fractional coordinates of all 4 atoms:
Li 0.7500 0.7500 0.7500  4 Nd 3.08, 4 Sc 3.08
Nd 0.0000 0.0000 0.0000  4 Li 3.08, 4 Ga 3.08
Sc 0.5000 0.5000 0.5000  4 Li 3.08, 4 Ga 3.08
Ga 0.2500 0.2500 0.2500  4 Nd 3.08, 4 Sc 3.08

Values from the calculation:
calculated formation energy	-0.295	eV/atom



[17]
HfP2NO: relaxed, GGA-PBE.

a = 5.1626 Å, b = 5.1626 Å, c = 3.9698 Å
α = 90.00°, β = 90.00°, γ = 90.00°
With the nearest neighbours (Å) after each atom.
Fractional coordinates of all 5 atoms:
P 0.0000 0.5000 0.0000  2 Hf 2.58
P 0.5000 0.0000 0.0000  2 Hf 2.58
O 0.0000 0.0000 0.5000  2 Hf 1.98
N 0.5000 0.5000 0.5000  8 P 3.26
Hf 0.0000 0.0000 0.0000  2 O 1.98

Values from the calculation:
raw formation energy	313	kJ/mol of formula units



[18]
CuOs2Ru: relaxed, GGA-PBE.

a = 3.8473 Å, b = 2.7161 Å, c = 5.9259 Å
α = 62.69°, β = 90.00°, γ = 90.00°
With the nearest neighbours (Å) after each atom.
Fractional coordinates of all 4 atoms:
Ru 0.5000 0.2500 0.2500  2 Cu 2.63, 2 Ru 2.72, 8 Os 2.72-2.73
Os 0.0000 0.0133 0.9905  4 Os 2.53-2.73, 4 Cu 2.67-2.68, 4 Ru 2.72-2.73
Os 0.0000 0.4867 0.5095  4 Os 2.53-2.73, 4 Cu 2.67-2.68, 4 Ru 2.72-2.73
Cu 0.5000 0.7500 0.7500  2 Ru 2.63, 8 Os 2.67-2.68, 2 Cu 2.72

Values from the calculation:
calculated formation energy	0.291	eV/atom



[19]
Sc2Co: relaxed, GGA-PBE.

a = 3.9229 Å, b = 6.1490 Å, c = 4.9600 Å
α = 90.00°, β = 90.00°, γ = 90.00°
With the nearest neighbours (Å) after each atom.
Fractional coordinates of all 6 atoms:
Co 0.0000 0.0000 0.0000  6 Sc 2.52-2.63
Co 0.5000 0.5000 0.5000  6 Sc 2.52-2.63
Sc 0.5000 0.2519 0.9315  3 Co 2.52-2.63
Sc 0.5000 0.7481 0.0685  3 Co 2.52-2.63
Sc 0.0000 0.7519 0.5685  3 Co 2.52-2.63
Sc 0.0000 0.2481 0.4315  3 Co 2.52-2.63

Values from the calculation:
calculated formation energy	-0.125	eV/atom



[20]
Sn3GeTe: relaxed, GGA-PBE.

a = 5.8053 Å, b = 5.8053 Å, c = 5.8053 Å
α = 90.00°, β = 90.00°, γ = 90.00°
With the nearest neighbours (Å) after each atom.
Fractional coordinates of all 5 atoms:
Te 0.0000 0.0000 0.0000  6 Sn 2.90
Ge 0.5000 0.5000 0.5000  12 Sn 4.10
Sn 0.0000 0.0000 0.5000  2 Te 2.90
Sn 0.0000 0.5000 0.0000  2 Te 2.90
Sn 0.5000 0.0000 0.0000  2 Te 2.90

Values from the calculation:
raw formation energy	396	kJ/mol of formula units



no.,calculated total energy (eV for the cell shown)
1,-29.68
2,-63.44
3,-19.39
4,-25.94
5,-48.78
6,-43.44
7,-24.93
8,-8.42
9,-25.20
10,-29.49
11,-11.01
12,-20.09
13,-54.99
14,-22.41
15,-20.98
16,-17.22
17,-30.81
18,-34.67
19,-40.29
20,-15.67